(1)
A plane-wave DFT calculation with PBE was carried out for a geometry-optimized AsIrC4 structure.

Calculated values
Final energy: -0.285 hartree per atom
Distance to the lowest polymorph of the same formula: 364 meV/atom
N(E_F): 0.195 states/eV per atom
ΔH_f (0 K): 0.65 eV per atom

Unit cell a=3.830 b=3.927 c=5.249 alpha=94.57 beta=99.68 gamma=104.94
Space group P1 (No. 1)
Unique sites:
As (0.000, 0.000, 0.000) x1
Ir (0.419, 0.617, 0.080) x1
C (0.256, 0.416, 0.671) x1
C (0.415, 0.586, 0.479) x1
C (0.692, 0.864, 0.459) x1
C (0.968, 0.099, 0.640) x1

---

(2)
A plane-wave DFT calculation with PBE was carried out for a geometry-optimized AsIrC4 structure.

Calculated values
Final energy: -0.283 hartree per atom
Distance to the lowest polymorph of the same formula: 429 meV/atom
N(E_F): 0.070 states/eV per atom
ΔH_f (0 K): 0.71 eV per atom

Unit cell a=2.784 b=4.613 c=5.250 alpha=78.78 beta=81.61 gamma=74.53
Space group P1 (No. 1)
Unique sites:
As (0.000, 0.000, 0.000) x1
Ir (0.295, 0.441, 0.066) x1
C (0.051, 0.257, 0.469) x1
C (0.141, 0.955, 0.631) x1
C (0.302, 0.650, 0.652) x1
C (0.454, 0.423, 0.479) x1

---

(3)
A plane-wave DFT calculation with PBE was carried out for a geometry-optimized AsIrC2 structure.

Calculated values
Final energy: -0.262 hartree per atom
N(E_F): 0.038 states/eV per atom
ΔH_f (0 K): 0.87 eV per atom

Unit cell a=4.754 b=4.754 c=8.830 alpha=90.00 beta=90.00 gamma=90.00
Space group I-42d (No. 122)
Unique sites:
As (0.000, 0.000, 0.000) x4
Ir (0.000, 0.000, 0.500) x4
C (0.238, 0.250, 0.125) x8

---

(4)
A plane-wave DFT calculation with PBE was carried out for a geometry-optimized AsIrC4 structure.

Calculated values
Final energy: -0.277 hartree per atom
Distance to the lowest polymorph of the same formula: 578 meV/atom
N(E_F): 0.132 states/eV per atom
ΔH_f (0 K): 0.86 eV per atom

Unit cell a=3.723 b=3.985 c=4.701 alpha=70.14 beta=83.67 gamma=82.64
Space group P1 (No. 1)
Unique sites:
As (0.000, 0.000, 0.000) x1
Ir (0.447, 0.165, 0.289) x1
C (0.065, 0.377, 0.573) x1
C (0.308, 0.601, 0.943) x1
C (0.361, 0.600, 0.629) x1
C (0.687, 0.447, 0.504) x1

---

(5)
A plane-wave DFT calculation with PBE was carried out for a geometry-optimized AsIrC4 structure.

Calculated values
Final energy: -0.280 hartree per atom
Distance to the lowest polymorph of the same formula: 494 meV/atom
N(E_F): 0.001 states/eV per atom
ΔH_f (0 K): 0.78 eV per atom

Unit cell a=3.751 b=4.576 c=4.655 alpha=67.22 beta=86.14 gamma=72.83
Space group P1 (No. 1)
Unique sites:
As (0.000, 0.000, 0.000) x1
Ir (0.435, 0.108, 0.293) x1
C (0.305, 0.592, 0.972) x1
C (0.475, 0.678, 0.701) x1
C (0.725, 0.571, 0.516) x1
C (0.985, 0.282, 0.542) x1

---

(6)
A plane-wave DFT calculation with PBE was carried out for a geometry-optimized AsIr2C structure.

Calculated values
Final energy: -0.247 hartree per atom
Distance to the lowest polymorph of the same formula: 950 meV/atom
N(E_F): 1.425 states/eV per atom
ΔH_f (0 K): 1.19 eV per atom

Unit cell a=5.924 b=5.924 c=5.924 alpha=90.00 beta=90.00 gamma=90.00
Space group Fm-3m (No. 225)
Unique sites:
As (0.000, 0.000, 0.000) x4
Ir (0.250, 0.250, 0.250) x8
C (0.000, 0.000, 0.500) x4

---

(7)
A plane-wave DFT calculation with PBE was carried out for a geometry-optimized AsIrC4 structure.

Calculated values
Final energy: -0.281 hartree per atom
Distance to the lowest polymorph of the same formula: 466 meV/atom
N(E_F): 0.198 states/eV per atom
ΔH_f (0 K): 0.75 eV per atom

Unit cell a=4.388 b=2.948 c=4.772 alpha=90.00 beta=91.12 gamma=90.00
Space group P2 (No. 3)
Unique sites:
As (0.000, 0.000, 0.000) x1
Ir (0.000, 0.863, 0.500) x1
C (0.370, 0.338, 0.593) x2
C (0.385, 0.340, 0.900) x2

---

(8)
A plane-wave DFT calculation with PBE was carried out for a geometry-optimized AsIrC4 structure.

Calculated values
Final energy: -0.298 hartree per atom
Distance to the lowest polymorph of the same formula: 0 meV/atom
N(E_F): 0.456 states/eV per atom
ΔH_f (0 K): 0.28 eV per atom

Unit cell a=2.495 b=4.223 c=9.770 alpha=100.68 beta=92.85 gamma=90.00
Space group P1 (No. 1)
Unique sites:
As (0.000, 0.000, 0.000) x1
Ir (0.975, 0.445, 0.871) x1
C (0.003, 0.059, 0.437) x1
C (0.003, 0.394, 0.437) x1
C (0.503, 0.559, 0.437) x1
C (0.503, 0.894, 0.437) x1

---

(9)
A plane-wave DFT calculation with PBE was carried out for a geometry-optimized AsIrC4 structure.

Calculated values
Final energy: -0.276 hartree per atom
Distance to the lowest polymorph of the same formula: 603 meV/atom
ΔH_f (0 K): 0.89 eV per atom

Unit cell a=3.830 b=4.307 c=5.427 alpha=76.51 beta=89.88 gamma=64.00
Space group P1 (No. 1)
Unique sites:
As (0.000, 0.000, 0.000) x1
Ir (0.441, 0.131, 0.249) x1
C (0.089, 0.545, 0.934) x1
C (0.625, 0.386, 0.405) x1
C (0.697, 0.606, 0.511) x1
C (0.906, 0.465, 0.761) x1

---

(10)
A plane-wave DFT calculation with PBE was carried out for a geometry-optimized AsIrC4 structure.

Calculated values
Final energy: -0.282 hartree per atom
Distance to the lowest polymorph of the same formula: 448 meV/atom
N(E_F): 0.101 states/eV per atom
ΔH_f (0 K): 0.73 eV per atom

Unit cell a=4.139 b=4.256 c=4.300 alpha=116.08 beta=90.03 gamma=98.96
Space group P1 (No. 1)
Unique sites:
As (0.000, 0.000, 0.000) x1
Ir (0.251, 0.437, 0.583) x1
C (0.507, 0.702, 0.335) x1
C (0.524, 0.076, 0.545) x1
C (0.667, 0.618, 0.030) x1
C (0.783, 0.275, 0.808) x1

---

(11)
A plane-wave DFT calculation with PBE was carried out for a geometry-optimized LiAs2IrC structure.

Calculated values
Final energy: -0.191 hartree per atom
N(E_F): 0.861 states/eV per atom
ΔH_f (0 K): 0.66 eV per atom

Unit cell a=5.156 b=5.156 c=3.761 alpha=90.00 beta=90.00 gamma=90.00
Space group P4/mmm (No. 123)
Unique sites:
Li (0.000, 0.000, 0.000) x1
As (0.000, 0.500, 0.500) x2
Ir (0.500, 0.500, 0.500) x1
C (0.500, 0.500, 0.000) x1

---

(12)
A plane-wave DFT calculation with PBE was carried out for a geometry-optimized AsP2IrC structure.

Calculated values
Final energy: -0.156 hartree per atom
N(E_F): 0.815 states/eV per atom
ΔH_f (0 K): 2.46 eV per atom

Unit cell a=4.692 b=4.692 c=4.602 alpha=90.00 beta=90.00 gamma=90.00
Space group P4/mmm (No. 123)
Unique sites:
As (0.000, 0.000, 0.000) x1
P (0.000, 0.500, 0.000) x2
Ir (0.000, 0.000, 0.500) x1
C (0.500, 0.500, 0.500) x1

---

(13)
A plane-wave DFT calculation with PBE was carried out for a geometry-optimized AsPIr2C structure.

Calculated values
Final energy: -0.241 hartree per atom
N(E_F): 0.472 states/eV per atom
ΔH_f (0 K): 0.86 eV per atom

Unit cell a=4.006 b=4.006 c=4.601 alpha=90.00 beta=90.00 gamma=90.00
Space group P4/mmm (No. 123)
Unique sites:
As (0.000, 0.000, 0.000) x1
P (0.500, 0.500, 0.000) x1
Ir (0.000, 0.500, 0.500) x2
C (0.500, 0.500, 0.500) x1

---

(14)
A plane-wave DFT calculation with PBE was carried out for a geometry-optimized RbAs2IrC structure.

Calculated values
Final energy: -0.149 hartree per atom
N(E_F): 0.591 states/eV per atom
ΔH_f (0 K): 1.62 eV per atom

Unit cell a=4.424 b=4.424 c=4.785 alpha=90.00 beta=90.00 gamma=90.00
Space group P4/mmm (No. 123)
Unique sites:
Rb (0.000, 0.000, 0.000) x1
As (0.000, 0.500, 0.500) x2
Ir (0.500, 0.500, 0.000) x1
C (0.000, 0.000, 0.500) x1

---

(15)
A plane-wave DFT calculation with PBE was carried out for a geometry-optimized AsIr2CS structure.

Calculated values
Final energy: -0.171 hartree per atom
N(E_F): 1.180 states/eV per atom

Unit cell a=4.582 b=4.582 c=4.767 alpha=90.00 beta=90.00 gamma=90.00
Space group P4/mmm (No. 123)
Unique sites:
As (0.000, 0.000, 0.000) x1
Ir (0.000, 0.500, 0.000) x2
C (0.500, 0.500, 0.500) x1
S (0.000, 0.000, 0.500) x1

---

(16)
A plane-wave DFT calculation with PBE was carried out for a geometry-optimized Sn2AsIrC structure.

Calculated values
Final energy: -0.208 hartree per atom
N(E_F): 0.302 states/eV per atom
ΔH_f (0 K): 0.48 eV per atom

Unit cell a=5.335 b=5.335 c=3.782 alpha=90.00 beta=90.00 gamma=90.00
Space group P4/mmm (No. 123)
Unique sites:
Sn (0.000, 0.500, 0.000) x2
As (0.000, 0.000, 0.500) x1
Ir (0.500, 0.500, 0.000) x1
C (0.500, 0.500, 0.500) x1

---

(17)
A plane-wave DFT calculation with PBE was carried out for a geometry-optimized TaAsIrC2 structure.

Calculated values
Final energy: -0.245 hartree per atom
N(E_F): 0.932 states/eV per atom
ΔH_f (0 K): 2.10 eV per atom

Unit cell a=3.871 b=3.871 c=4.873 alpha=90.00 beta=90.00 gamma=90.00
Space group P4/mmm (No. 123)
Unique sites:
Ta (0.000, 0.000, 0.000) x1
As (0.500, 0.500, 0.500) x1
Ir (0.500, 0.500, 0.000) x1
C (0.000, 0.500, 0.500) x2

---

(18)
A plane-wave DFT calculation with PBE was carried out for a geometry-optimized TlAsIrC2 structure.

Calculated values
Final energy: -0.208 hartree per atom
N(E_F): 0.521 states/eV per atom
ΔH_f (0 K): 1.19 eV per atom

Unit cell a=3.951 b=3.951 c=5.718 alpha=90.00 beta=90.00 gamma=90.00
Space group P4/mmm (No. 123)
Unique sites:
Tl (0.000, 0.000, 0.000) x1
As (0.500, 0.500, 0.000) x1
Ir (0.500, 0.500, 0.500) x1
C (0.000, 0.500, 0.500) x2

---

(19)
A plane-wave DFT calculation with PBE was carried out for a geometry-optimized VAsIr2C structure.

Calculated values
Final energy: -0.275 hartree per atom
N(E_F): 1.277 states/eV per atom
ΔH_f (0 K): 0.66 eV per atom

Unit cell a=3.921 b=3.921 c=4.811 alpha=90.00 beta=90.00 gamma=90.00
Space group P4/mmm (No. 123)
Unique sites:
V (0.000, 0.000, 0.000) x1
As (0.500, 0.500, 0.000) x1
Ir (0.000, 0.500, 0.500) x2
C (0.500, 0.500, 0.500) x1

---

(20)
A plane-wave DFT calculation with PBE was carried out for a geometry-optimized VAs2IrC structure.

Calculated values
Final energy: -0.200 hartree per atom
N(E_F): 1.004 states/eV per atom
ΔH_f (0 K): 1.85 eV per atom

Unit cell a=4.665 b=4.665 c=4.959 alpha=90.00 beta=90.00 gamma=90.00
Space group P4/mmm (No. 123)
Unique sites:
V (0.000, 0.000, 0.000) x1
As (0.000, 0.500, 0.500) x2
Ir (0.000, 0.000, 0.500) x1
C (0.500, 0.500, 0.000) x1

---

(21)
A plane-wave DFT calculation with PBE was carried out for a geometry-optimized KAsC3 structure.

Calculated values
Final energy: -0.155 hartree per atom
Distance to the lowest polymorph of the same formula: 0 meV/atom
N(E_F): 0.285 states/eV per atom
ΔH_f (0 K): 2.46 eV per atom

Unit cell a=4.118 b=4.118 c=4.118 alpha=90.00 beta=90.00 gamma=90.00
Space group Pm-3m (No. 221)
Unique sites:
K (0.000, 0.000, 0.000) x1
As (0.500, 0.500, 0.500) x1
C (0.000, 0.500, 0.500) x3

---

(22)
A plane-wave DFT calculation with PBE was carried out for a geometry-optimized KAsC3 structure.

Calculated values
Final energy: -0.088 hartree per atom
Distance to the lowest polymorph of the same formula: 1822 meV/atom
N(E_F): 0.939 states/eV per atom
ΔH_f (0 K): 4.28 eV per atom

Unit cell a=4.803 b=4.803 c=4.803 alpha=90.00 beta=90.00 gamma=90.00
Space group Pm-3m (No. 221)
Unique sites:
K (0.000, 0.000, 0.000) x1
As (0.500, 0.500, 0.500) x1
C (0.000, 0.000, 0.500) x3

---

(23)
A plane-wave DFT calculation with PBE was carried out for a geometry-optimized KLa2AsC structure.

Calculated values
Final energy: -0.176 hartree per atom
N(E_F): 0.365 states/eV per atom
ΔH_f (0 K): 0.19 eV per atom

Unit cell a=5.114 b=5.114 c=5.237 alpha=90.00 beta=90.00 gamma=90.00
Space group P4/mmm (No. 123)
Unique sites:
K (0.000, 0.000, 0.000) x1
La (0.000, 0.500, 0.500) x2
As (0.500, 0.500, 0.000) x1
C (0.500, 0.500, 0.500) x1

---

(24)
A plane-wave DFT calculation with PBE was carried out for a geometry-optimized K2NaAsC structure.

Calculated values
Final energy: -0.089 hartree per atom
N(E_F): 1.917 states/eV per atom
ΔH_f (0 K): 1.05 eV per atom

Unit cell a=6.325 b=6.325 c=5.543 alpha=90.00 beta=90.00 gamma=90.00
Space group P4/mmm (No. 123)
Unique sites:
K (0.000, 0.500, 0.000) x2
Na (0.000, 0.000, 0.500) x1
As (0.000, 0.000, 0.000) x1
C (0.500, 0.500, 0.500) x1

---

(25)
A plane-wave DFT calculation with PBE was carried out for a geometry-optimized KAsC2O6 structure.

Calculated values
Final energy: -0.248 hartree per atom
N(E_F): 0.000 states/eV per atom

Unit cell a=8.971 b=10.742 c=7.704 alpha=90.00 beta=117.26 gamma=90.00
Space group C2/c (No. 15)
Unique sites:
K (0.000, 0.143, 0.250) x4
As (0.000, 0.463, 0.750) x4
C (0.223, 0.388, 0.296) x8
O (0.071, 0.406, 0.134) x8
O (0.187, 0.202, 0.683) x8
O (0.248, 0.478, 0.424) x8

---

(26)
A plane-wave DFT calculation with PBE was carried out for a geometry-optimized KAs2CSe structure.

Calculated values
Final energy: -0.140 hartree per atom
Distance to the lowest polymorph of the same formula: 0 meV/atom
N(E_F): 0.683 states/eV per atom

Unit cell a=4.410 b=4.410 c=5.467 alpha=90.00 beta=90.00 gamma=90.00
Space group P4/mmm (No. 123)
Unique sites:
K (0.000, 0.000, 0.000) x1
As (0.000, 0.500, 0.500) x2
C (0.500, 0.500, 0.500) x1
Se (0.500, 0.500, 0.000) x1

---

(27)
A plane-wave DFT calculation with PBE was carried out for a geometry-optimized KAs2CSe structure.

Calculated values
Final energy: -0.072 hartree per atom
Distance to the lowest polymorph of the same formula: 1854 meV/atom
N(E_F): 2.618 states/eV per atom

Unit cell a=6.927 b=6.927 c=6.275 alpha=90.00 beta=90.00 gamma=90.00
Space group P4/mmm (No. 123)
Unique sites:
K (0.000, 0.000, 0.000) x1
As (0.000, 0.500, 0.000) x2
C (0.500, 0.500, 0.500) x1
Se (0.000, 0.000, 0.500) x1